{"formula": "ErInI", "functional": "GGA-PBE", "state": "relaxed", "spacegroup": "P-1 (2)", "total_magnetization_mub_per_fu": 0.00, "e_form_raw_ev_per_fu": -1.51, "total_energy_ev_per_atom": -3.453, "lattice": [[3.764, 0.442, 0.325], [0.907, 7.894, 0.790], [-0.564, -0.265, 6.938]], "species": ["I", "I", "In", "In", "Er", "Er"], "frac_coords": [[0.232, 0.537, 0.756], [0.768, 0.463, 0.244], [0.979, 0.035, 0.792], [0.021, 0.965, 0.208], [0.384, 0.228, 0.488], [0.616, 0.772, 0.512]]}